Computed, not measured: a relaxed PmSm4Ge2 crystal at the PBE-GGA level of DFT.

```
PmSm4Ge2
1.0
2.473 1.428 10.156
-2.473 1.428 10.156
0.000 -2.855 10.156
Pm Sm Ge
1 4 2
direct
0.000 0.000 0.000 Pm
0.202 0.202 0.202 Sm
0.395 0.395 0.395 Sm
0.605 0.605 0.605 Sm
0.798 0.798 0.798 Sm
0.100 0.100 0.100 Ge
0.900 0.900 0.900 Ge
```

Properties
Final energy: -5.039 eV per atom
Volume: 215.10 Å³ per cell
Space-group type: R-3m
Formation enthalpy at 0 K: -0.34 eV/atom